A plane-wave DFT calculation with PBE was carried out for a relaxed Pa4PtCS2 crystal.

Cell and atoms, written as extended XYZ:
```
8
Lattice="-3.068 1.362 1.616 -1.603 -6.199 2.180 2.902 -0.907 6.274" Properties=species:S:1:pos:R:3 pbc="T T T"
Pa -2.698 -0.495 3.882
Pa 0.108 -1.659 5.896
Pa -1.877 -4.086 4.174
Pa 0.928 -5.250 6.188
C 0.649 -3.553 4.227
S 2.902 -0.907 6.274
S -0.083 0.227 3.945
Pt -2.335 -2.419 1.898
```

Raw formation energy ... -1.027 eV/atom
Density ... 11.89 g/cm3
Size of the total moment ... 0.00 Bohr magnetons per cell
Electronic total energy ... -0.641 Ry per atom
Space group ... P2/m (10)

---

A plane-wave DFT calculation with PBE was carried out for a relaxed Dy8Te2Ru3 crystal.

Cell and atoms, written as extended XYZ:
```
13
Lattice="-3.076 0.130 3.739 -3.979 -8.387 -2.981 6.965 0.329 5.719" Properties=species:S:1:pos:R:3 pbc="T T T"
Ru -2.990 -6.306 -2.240
Ru -1.538 0.065 1.869
Ru 5.976 -1.752 4.978
Dy 1.897 -7.212 1.813
Dy -1.987 -0.716 4.664
Dy 3.931 -3.052 3.340
Dy -1.448 -2.809 2.044
Dy 3.389 -0.824 5.954
Dy -4.020 -4.876 3.136
Dy 1.359 -5.119 4.433
Dy -3.478 -7.103 0.523
Te -1.119 -5.994 2.425
Te 1.030 -1.934 4.052
```

Raw formation energy ... -0.556 eV/atom
Density ... 8.61 g/cm3
Size of the total moment ... 0.00 Bohr magnetons per cell
Electronic total energy ... -0.442 Ry per atom
Space group ... P2/m (10)

---

A plane-wave DFT calculation with PBE was carried out for a relaxed ReTcW2 crystal.

Cell and atoms, written as extended XYZ:
```
4
Lattice="5.222 -0.006 0.002 2.394 4.641 -0.002 -3.339 -3.088 2.566" Properties=species:S:1:pos:R:3 pbc="T T T"
W 2.873 -0.372 1.284
W 7.569 4.606 0.000
Re 3.868 2.354 0.000
Tc 1.391 1.911 1.282
```

E above lowest polymorph ... 0 meV per atom
Density ... 17.40 g/cm3
Energy of formation ... 0.08 eV per atom
Size of the total moment ... 0.00 Bohr magnetons per cell
Electronic total energy ... -0.890 Ry per atom
Space group ... Imm2 (44)

---

A plane-wave DFT calculation with PBE was carried out for a relaxed AlTe2Pb crystal.

Cell and atoms, written as extended XYZ:
```
4
Lattice="5.358 0.064 0.000 -1.368 5.181 0.000 -1.995 -2.622 4.226" Properties=species:S:1:pos:R:3 pbc="T T T"
Te 1.995 2.622 0.000
Te 0.000 0.000 0.000
Al -0.684 2.590 2.113
Pb 2.679 0.032 2.113
```

Raw formation energy ... 0.058 eV/atom
Density ... 6.91 g/cm3
Size of the total moment ... 0.00 Bohr magnetons per cell
Electronic total energy ... -0.248 Ry per atom
Space group ... I4/mmm (139)

---

A plane-wave DFT calculation with PBE was carried out for a relaxed CdCoCu2 crystal.

Cell and atoms, written as extended XYZ:
```
8
Lattice="-1.644 2.998 -1.332 1.178 -0.851 -3.370 -7.765 -3.692 -3.781" Properties=species:S:1:pos:R:3 pbc="T T T"
Cu -5.974 -1.982 -4.671
Cu -1.446 -1.016 -3.246
Cu -6.257 -0.872 -6.877
Cu -2.786 0.780 -2.170
Co -0.233 1.074 -2.351
Co -3.410 -1.734 -4.750
Cd -4.821 0.190 -3.731
Cd 0.000 0.000 0.000
```

Density ... 8.15 g/cm3
Energy of formation ... 0.52 eV per atom
Size of the total moment ... 2.59 Bohr magnetons per cell
Electronic total energy ... -0.260 Ry per atom
Space group ... I-42d (122)

---

A plane-wave DFT calculation with PBE was carried out for a relaxed Sr2CoPt crystal.

Cell and atoms, written as extended XYZ:
```
4
Lattice="-2.943 -2.352 -1.976 0.920 -1.843 -3.722 1.792 -7.593 1.752" Properties=species:S:1:pos:R:3 pbc="T T T"
Co -0.173 -8.841 -2.960
Pt -0.058 -2.947 -0.987
Sr -1.983 -4.296 -5.639
Sr -0.156 -5.793 -2.033
```

Density ... 5.97 g/cm3
Energy of formation ... 0.13 eV per atom
Size of the total moment ... 1.33 Bohr magnetons per cell
Electronic total energy ... -0.294 Ry per atom
Space group ... C2/m (12)